A plane-wave DFT calculation with PBE-GGA was carried out for a relaxed Mg2InTe crystal.

a = 5.046 Å, b = 5.046 Å, c = 3.945 Å
α = 90.00°, β = 90.00°, γ = 90.00°
Space group P4/mmm (No. 123)
Asymmetric unit:
Mg 0.000 0.500 0.000 (multiplicity 2)
In 0.000 0.000 0.500 (multiplicity 1)
Te 0.500 0.500 0.500 (multiplicity 1)

Summary:
Formation energy without anion corrections (eV per atom): -0.18
E above lowest polymorph (eV per atom): 0.106
Total magnetic moment (μB per formula unit): 0.00